No. 1
DFT (PBE) results for an optimized crystal structure of Mn2InBr.

a = 6.7518 Å, b = 6.7518 Å, c = 4.5644 Å
α = 90.08°, β = 90.08°, γ = 27.41°
Element x y z (fractional)
Mn1 0.0000 0.0000 0.0000
Mn2 0.6655 0.6655 0.0005
In1 0.1242 0.1242 0.5004
Br1 0.3476 0.3476 0.0015

Values from the calculation:
ΔE to the lowest computed polymorph   44.4 meV/atom
E_form (uncorrected)   0.216 eV/atom
Symmetry   Cm
Calculated density   5.28 Mg/m³

No. 2
DFT (PBE) results for an optimized crystal structure of Mn2InBr.

a = 5.6726 Å, b = 5.6726 Å, c = 5.6726 Å
α = 105.80°, β = 105.80°, γ = 117.10°
Element x y z (fractional)
Mn1 0.0594 0.1250 0.4344
Mn2 0.3750 0.9406 0.0656
Mn3 0.6906 0.6250 0.5656
Mn4 0.8750 0.3094 0.9344
In1 0.2500 0.7500 0.5000
In2 0.5000 0.5000 0.0000
Br1 0.0000 0.0000 0.0000
Br2 0.7500 0.2500 0.5000

Values from the calculation:
ΔE to the lowest computed polymorph   950.7 meV/atom
E_form (uncorrected)   1.122 eV/atom
Symmetry   I-42d
Calculated density   7.30 Mg/m³

Total magnetic moment (computed, μB/atom): 1.8035; 0.0001